## LiScVO4 (GGA+U)

Data for an optimized crystal structure of LiScVO4.

Calculated values
- total DFT energy (no corrections) (eV for the cell shown) = -105.95

Cell lengths 6.1422, 5.7323, 5.7323 Å; angles 70.82, 57.60, 57.60 degrees
Element x y z (fractional)
1 Li 0.0000 0.0000 0.0000
2 Li 0.0000 0.5000 0.5000
3 Sc 0.5000 0.0000 0.5000
4 Sc 0.0000 0.0000 0.5000
5 V 0.7160 0.5340 0.0340
6 V 0.2840 0.4660 0.9660
7 O 0.7361 0.8008 0.7269
8 O 0.2639 0.7731 0.6992
9 O 0.7361 0.2269 0.3008
10 O 0.2639 0.1992 0.2731
11 O 0.2884 0.6904 0.1904
12 O 0.8307 0.6904 0.1904
13 O 0.1693 0.3096 0.8096
14 O 0.7116 0.3096 0.8096